1 | A relaxed structure of Zn, computed with GGA-PBE.

Cell and atoms, written as CIF:
```
data_Zn
_symmetry_space_group_name_H-M 'C m c m'
_symmetry_Int_Tables_number 63
_symmetry_space_group_name_Hall '-C 2c 2'
_cell_length_a 2.714
_cell_length_b 4.687
_cell_length_c 4.531
_cell_angle_alpha 90.00
_cell_angle_beta 90.00
_cell_angle_gamma 90.00
loop_
_atom_site_label
_atom_site_fract_x
_atom_site_fract_y
_atom_site_fract_z
Zn1 0.000 0.167 0.250
```

=====

2 | A relaxed structure of Zn, computed with GGA-PBE.

Cell and atoms, written as CIF:
```
data_Zn
_symmetry_space_group_name_H-M 'C m c m'
_symmetry_Int_Tables_number 63
_symmetry_space_group_name_Hall '-C 2c 2'
_cell_length_a 2.710
_cell_length_b 4.650
_cell_length_c 4.618
_cell_angle_alpha 90.00
_cell_angle_beta 90.00
_cell_angle_gamma 90.00
loop_
_atom_site_label
_atom_site_fract_x
_atom_site_fract_y
_atom_site_fract_z
Zn1 0.000 0.167 0.250
```

=====

Which one sits at the top of the stability order? 2 does.

=====

1 | A relaxed structure of GdCuSnSe3, computed with GGA-PBE.

Values from the calculation:
The magnetization comes out at 0.0 μB per cell.

Cell and atoms, written as CIF:
```
data_GdCuSnSe3
_symmetry_space_group_name_H-M 'C m c m'
_symmetry_Int_Tables_number 63
_symmetry_space_group_name_Hall '-C 2c 2'
_cell_length_a 4.039
_cell_length_b 13.508
_cell_length_c 10.655
_cell_angle_alpha 90.00
_cell_angle_beta 90.00
_cell_angle_gamma 90.00
loop_
_atom_site_label
_atom_site_fract_x
_atom_site_fract_y
_atom_site_fract_z
Gd1 0.000 0.000 0.000
Cu1 0.000 0.470 0.250
Sn1 0.000 0.239 0.750
Se1 0.000 0.082 0.250
Se2 0.000 0.356 0.069
```

=====

2 | A relaxed structure of GdCuSnSe3, computed with GGA-PBE.

Values from the calculation:
The magnetization comes out at 0.0 μB per cell.

Cell and atoms, written as CIF:
```
data_GdCuSnSe3
_symmetry_space_group_name_H-M 'P n m a'
_symmetry_Int_Tables_number 62
_cell_length_a 11.420
_cell_length_b 4.189
_cell_length_c 11.740
_cell_angle_alpha 90.00
_cell_angle_beta 90.00
_cell_angle_gamma 90.00
loop_
_symmetry_equiv_pos_as_xyz
'x,y,z'
'-x,-y,-z'
'-x+1/2,-y,z+1/2'
'x+1/2,y,-z+1/2'
'x+1/2,-y+1/2,-z+1/2'
'-x+1/2,y+1/2,z+1/2'
'-x,y+1/2,-z'
'x,-y+1/2,z'
loop_
_atom_site_label
_atom_site_fract_x
_atom_site_fract_y
_atom_site_fract_z
Gd1 0.019 0.250 0.187
Cu1 0.241 0.750 0.296
Sn1 0.186 0.250 0.495
Se1 0.039 0.750 0.364
Se2 0.102 0.250 0.939
Se3 0.221 0.750 0.688
```

=====

Which one sits at the top of the stability order? 1 does.

=====

1 | A relaxed structure of ZrTlCdFe, computed with GGA-PBE.

Values from the calculation:
The magnetization comes out at 6.3 μB per cell.

Cell and atoms, written as CIF:
```
data_ZrTlCdFe
_symmetry_space_group_name_H-M 'F -4 3 m'
_symmetry_Int_Tables_number 216
_symmetry_space_group_name_Hall 'F -4 2 3'
_cell_length_a 6.767
_cell_length_b 6.767
_cell_length_c 6.767
_cell_angle_alpha 90.00
_cell_angle_beta 90.00
_cell_angle_gamma 90.00
loop_
_atom_site_label
_atom_site_fract_x
_atom_site_fract_y
_atom_site_fract_z
Zr1 0.000 0.000 0.000
Tl1 0.000 0.000 0.500
Cd1 0.250 0.250 0.250
Fe1 0.250 0.250 0.750
```

=====

2 | A relaxed structure of ZrTlCdFe, computed with GGA-PBE.

Values from the calculation:
The magnetization comes out at 8.8 μB per cell.

Cell and atoms, written as CIF:
```
data_ZrTlCdFe
_symmetry_space_group_name_H-M 'F -4 3 m'
_symmetry_Int_Tables_number 216
_symmetry_space_group_name_Hall 'F -4 2 3'
_cell_length_a 6.786
_cell_length_b 6.786
_cell_length_c 6.786
_cell_angle_alpha 90.00
_cell_angle_beta 90.00
_cell_angle_gamma 90.00
loop_
_atom_site_label
_atom_site_fract_x
_atom_site_fract_y
_atom_site_fract_z
Zr1 0.000 0.000 0.000
Tl1 0.250 0.250 0.250
Cd1 0.250 0.250 0.750
Fe1 0.000 0.000 0.500
```

=====

Which one sits at the top of the stability order? 1 does.

=====

1 | A relaxed structure of NaNdHgTe3, computed with GGA-PBE.

Values from the calculation:
The magnetization comes out at 0.0 μB per cell.

Cell and atoms, written as CIF:
```
data_NaNdHgTe3
_symmetry_space_group_name_H-M 'C 1 2/m 1'
_symmetry_Int_Tables_number 12
_cell_length_a 20.680
_cell_length_b 4.441
_cell_length_c 9.096
_cell_angle_alpha 90.00
_cell_angle_beta 103.52
_cell_angle_gamma 90.00
loop_
_symmetry_equiv_pos_as_xyz
'x,y,z'
'-x,-y,-z'
'-x,y,-z'
'x,-y,z'
'x+1/2,y+1/2,z'
'-x+1/2,-y+1/2,-z'
'-x+1/2,y+1/2,-z'
'x+1/2,-y+1/2,z'
loop_
_atom_site_label
_atom_site_fract_x
_atom_site_fract_y
_atom_site_fract_z
Na1 0.121 0.000 0.082
Nd1 0.176 0.000 0.596
Hg1 0.045 0.500 0.725
Te1 0.000 0.000 0.500
Te2 0.000 0.500 0.000
Te3 0.170 0.500 0.350
Te4 0.184 0.500 0.853
```

=====

2 | A relaxed structure of NaNdHgTe3, computed with GGA-PBE.

Values from the calculation:
The magnetization comes out at 0.0 μB per cell.

Cell and atoms, written as CIF:
```
data_NaNdHgTe3
_symmetry_space_group_name_H-M 'P n m a'
_symmetry_Int_Tables_number 62
_cell_length_a 11.908
_cell_length_b 4.466
_cell_length_c 14.948
_cell_angle_alpha 90.00
_cell_angle_beta 90.00
_cell_angle_gamma 90.00
loop_
_symmetry_equiv_pos_as_xyz
'x,y,z'
'-x,-y,-z'
'-x+1/2,-y,z+1/2'
'x+1/2,y,-z+1/2'
'x+1/2,-y+1/2,-z+1/2'
'-x+1/2,y+1/2,z+1/2'
'-x,y+1/2,-z'
'x,-y+1/2,z'
loop_
_atom_site_label
_atom_site_fract_x
_atom_site_fract_y
_atom_site_fract_z
Na1 0.244 0.250 0.023
Nd1 0.004 0.750 0.749
Hg1 0.247 0.750 0.221
Te1 0.057 0.750 0.106
Te2 0.065 0.250 0.605
Te3 0.246 0.250 0.345
```

=====

Which one sits at the top of the stability order? 2 does.

=====

1 | A relaxed structure of HfBeSi, computed with GGA-PBE.

Values from the calculation:
The magnetization comes out at 0.0 μB per cell.

Cell and atoms, written as CIF:
```
data_HfBeSi
_symmetry_space_group_name_H-M 'P 63 m c'
_symmetry_Int_Tables_number 186
_symmetry_space_group_name_Hall 'P 6c -2c'
_cell_length_a 3.6725
_cell_length_b 3.6725
_cell_length_c 8.4589
_cell_angle_alpha 90.00
_cell_angle_beta 90.00
_cell_angle_gamma 120.00
loop_
_atom_site_label
_atom_site_fract_x
_atom_site_fract_y
_atom_site_fract_z
Hf1 0.3333 0.6667 0.0000
Be1 0.0000 0.0000 0.2361
Si1 0.3333 0.6667 0.3091
```

=====

2 | A relaxed structure of HfBeSi, computed with GGA-PBE.

Values from the calculation:
The magnetization comes out at 0.0 μB per cell.

Cell and atoms, written as CIF:
```
data_HfBeSi
_symmetry_space_group_name_H-M 'F -4 3 m'
_symmetry_Int_Tables_number 216
_symmetry_space_group_name_Hall 'F -4 2 3'
_cell_length_a 5.617
_cell_length_b 5.617
_cell_length_c 5.617
_cell_angle_alpha 90.00
_cell_angle_beta 90.00
_cell_angle_gamma 90.00
loop_
_atom_site_label
_atom_site_fract_x
_atom_site_fract_y
_atom_site_fract_z
Hf1 0.000 0.000 0.000
Be1 0.250 0.250 0.250
Si1 0.000 0.000 0.500
```

=====

3 | A relaxed structure of HfBeSi, computed with GGA-PBE.

Values from the calculation:
The magnetization comes out at 0.0 μB per cell.

Cell and atoms, written as CIF:
```
data_HfBeSi
_symmetry_space_group_name_H-M 'P -6 m 2'
_symmetry_Int_Tables_number 187
_symmetry_space_group_name_Hall 'P -6 2'
_cell_length_a 3.7075
_cell_length_b 3.7075
_cell_length_c 3.5663
_cell_angle_alpha 90.00
_cell_angle_beta 90.00
_cell_angle_gamma 120.00
loop_
_atom_site_label
_atom_site_fract_x
_atom_site_fract_y
_atom_site_fract_z
Hf1 0.0000 0.0000 0.0000
Be1 0.3333 0.6667 0.5000
Si1 0.6667 0.3333 0.5000
```

=====

Which one sits at the top of the stability order? 3 does.

=====

1 | A relaxed structure of PaRePO, computed with GGA-PBE.

Values from the calculation:
The magnetization comes out at 0.0 μB per cell.

Cell and atoms, written as CIF:
```
data_PaRePO
_symmetry_space_group_name_H-M 'P 4/n m m'
_symmetry_Int_Tables_number 129
_cell_length_a 4.226
_cell_length_b 4.226
_cell_length_c 6.828
_cell_angle_alpha 90.00
_cell_angle_beta 90.00
_cell_angle_gamma 90.00
loop_
_symmetry_equiv_pos_as_xyz
'x,y,z'
'-x,-y,-z'
'-y+1/2,x,z'
'y+1/2,-x,-z'
'-x+1/2,-y+1/2,z'
'x+1/2,y+1/2,-z'
'y,-x+1/2,z'
'-y,x+1/2,-z'
'x+1/2,-y,-z'
'-x+1/2,y,z'
'-y,-x,-z'
'y,x,z'
'-x,y+1/2,-z'
'x,-y+1/2,z'
'y+1/2,x+1/2,-z'
'-y+1/2,-x+1/2,z'
loop_
_atom_site_label
_atom_site_fract_x
_atom_site_fract_y
_atom_site_fract_z
Pa1 0.250 0.750 0.000
Re1 0.250 0.250 0.364
P1 0.250 0.250 0.715
O1 0.250 0.750 0.500
```

=====

2 | A relaxed structure of PaRePO, computed with GGA-PBE.

Values from the calculation:
The magnetization comes out at 0.0 μB per cell.

Cell and atoms, written as CIF:
```
data_PaRePO
_symmetry_space_group_name_H-M 'P m c 21'
_symmetry_Int_Tables_number 26
_cell_length_a 4.267
_cell_length_b 4.397
_cell_length_c 6.619
_cell_angle_alpha 90.00
_cell_angle_beta 90.00
_cell_angle_gamma 90.00
loop_
_symmetry_equiv_pos_as_xyz
'x,y,z'
'-x,-y,z+1/2'
'-x,y,z'
'x,-y,z+1/2'
loop_
_atom_site_label
_atom_site_fract_x
_atom_site_fract_y
_atom_site_fract_z
Pa1 0.000 0.187 0.000
Re1 0.500 0.323 0.345
P1 0.500 0.176 0.697
O1 0.000 0.305 0.345
```

=====

Which one sits at the top of the stability order? 2 does.